Compound: Rb3TlRe2O9
Source: the Alexandria database
Functional: GGA-PBE
Structure: relaxed

Cell lengths 5.897, 5.897, 8.392 Å; angles 90.00, 90.00, 120.00 degrees
Fractional positions:
Re 0.333 0.667 0.146
Re 0.667 0.333 0.854
O 0.500 0.000 0.000
O 0.000 0.500 0.000
O 0.500 0.500 0.000
O 0.817 0.183 0.742
O 0.633 0.817 0.258
O 0.183 0.367 0.258
O 0.367 0.183 0.742
O 0.183 0.817 0.258
O 0.817 0.633 0.742
Tl 0.000 0.000 0.500
Rb 0.667 0.333 0.292
Rb 0.333 0.667 0.708
Rb 0.000 0.000 0.000

Theoretical density, Mg/m³: 6.42
Crystal system: trigonal
Total moment, μB/f.u.: 0.0
Energy relative to the elements, uncorrected, meV/atom: -1561.8